Below is a relaxed structure of Cs2HgGe3I8, with properties calculated at the PBE-GGA level.

Cell: 10.8858 10.8858 10.8858 Å, 48.61 48.61 48.61°
Positions (direct):
Cs (0.0000, 0.0000, 0.0000)
Cs (0.3547, 0.3547, 0.3547)
Hg (0.7098, 0.7098, 0.7098)
Ge (0.3592, 0.3592, 0.8437)
Ge (0.3592, 0.8437, 0.3592)
Ge (0.8437, 0.3592, 0.3592)
I (0.0904, 0.0904, 0.5622)
I (0.0904, 0.5622, 0.0904)
I (0.1306, 0.1306, 0.1306)
I (0.1443, 0.6217, 0.6217)
I (0.5622, 0.0904, 0.0904)
I (0.5800, 0.5800, 0.5800)
I (0.6217, 0.1443, 0.6217)
I (0.6217, 0.6217, 0.1443)

Magnetization = 0.000 μB/atom
Electronic total energy = -2.61 eV per atom
Formation energy without anion corrections = -0.595 eV per atom

Below is a relaxed structure of Nb2FeNi2, with properties calculated at the PBE-GGA level.

Cell: 6.6105 6.6105 3.2131 Å, 90.00 90.00 90.00°
Positions (direct):
Nb (0.1804, 0.3196, 0.0000)
Nb (0.3196, 0.8196, 0.0000)
Nb (0.6804, 0.1804, 0.0000)
Nb (0.8196, 0.6804, 0.0000)
Fe (0.0000, 0.0000, 0.5000)
Fe (0.5000, 0.5000, 0.5000)
Ni (0.1250, 0.6250, 0.5000)
Ni (0.3750, 0.1250, 0.5000)
Ni (0.6250, 0.8750, 0.5000)
Ni (0.8750, 0.3750, 0.5000)

Magnetization = 0.000 μB/atom
Energy of formation = 1 meV per atom
Electronic total energy = -8.03 eV per atom

Below is a relaxed structure of TaSbPdI2, with properties calculated at the PBE-GGA level.

Cell: 5.4649 5.4649 5.4520 Å, 90.00 90.00 90.00°
Positions (direct):
Ta (0.0000, 0.0000, 0.0000)
Sb (0.0000, 0.0000, 0.5000)
Pd (0.5000, 0.5000, 0.5000)
I (0.0000, 0.5000, 0.0000)
I (0.5000, 0.0000, 0.0000)

Magnetization = 0.000 μB/atom
Excess energy over the best structure of this formula in the dataset = 0.00 kcal/mol of atoms
Electronic total energy = -4.12 eV per atom
Formation energy without anion corrections = 0.732 eV per atom

Below is a relaxed structure of YMnN3, with properties calculated at the PBE-GGA level.

Cell: 3.7242 3.7242 3.7242 Å, 90.00 90.00 90.00°
Positions (direct):
Y (0.0000, 0.0000, 0.0000)
Mn (0.5000, 0.5000, 0.5000)
N (0.0000, 0.5000, 0.5000)
N (0.5000, 0.0000, 0.5000)
N (0.5000, 0.5000, 0.0000)

Magnetization = 0.000 μB/atom
Electronic total energy = -8.39 eV per atom
Formation energy without anion corrections = -0.267 eV per atom

Below is a relaxed structure of PaSi2Tc3, with properties calculated at the PBE-GGA level.

Cell: 6.7852 6.7852 3.2900 Å, 90.00 90.00 141.84°
Positions (direct):
Pa (0.0000, 0.0000, 0.0000)
Si (0.3318, 0.6682, 0.0000)
Si (0.6682, 0.3318, 0.0000)
Tc (0.1812, 0.8188, 0.5000)
Tc (0.5000, 0.5000, 0.5000)
Tc (0.8188, 0.1812, 0.5000)

Magnetization = 0.000 μB/atom
Electronic total energy = -8.95 eV per atom
Formation energy without anion corrections = -0.381 eV per atom

Below is a relaxed structure of ScTa2F, with properties calculated at the PBE-GGA level.

Cell: 4.6581 4.6581 4.6581 Å, 60.00 60.00 60.00°
Positions (direct):
Sc (0.0000, 0.0000, 0.0000)
Ta (0.2500, 0.2500, 0.2500)
Ta (0.7500, 0.7500, 0.7500)
F (0.5000, 0.5000, 0.5000)

Magnetization = 0.463 μB/atom
Excess energy over the best structure of this formula in the dataset = 4.78 kcal/mol of atoms
Electronic total energy = -7.27 eV per atom
Formation energy without anion corrections = 0.705 eV per atom